1.
Material: LaFeSi2
Method: DFT, meta-GGA SCAN
State: PBEsol geometry

```
data_LaFeSi2
_chemical_formula_sum 'La3 Fe3 Si6'
_space_group_name_H-M_alt 'R 3 m'
_space_group_IT_number 160
_space_group_name_Hall 'R 3 -2"'
_cell_length_a 2.9832
_cell_length_b 2.9832
_cell_length_c 25.9928
_cell_angle_alpha 90.00
_cell_angle_beta 90.00
_cell_angle_gamma 120.00
loop_
_atom_site_label
_atom_site_fract_x
_atom_site_fract_y
_atom_site_fract_z
La1 0.0000 0.0000 0.0000
Fe1 0.0000 0.0000 0.2366
Si1 0.0000 0.0000 0.5106
Si2 0.0000 0.0000 0.7676
```

## Properties
The formation energy from raw total energies comes out at 455 meV per atom. As for the volume: 200.32 Å³ per cell.

---

2.
Material: CrTc2Pb
Method: DFT, meta-GGA SCAN
State: PBEsol geometry

```
data_CrTc2Pb
_chemical_formula_sum 'Cr3 Tc6 Pb3'
_space_group_name_H-M_alt 'R -3 m'
_space_group_IT_number 166
_space_group_name_Hall '-R 3 2"'
_cell_length_a 2.9360
_cell_length_b 2.9360
_cell_length_c 25.7820
_cell_angle_alpha 90.00
_cell_angle_beta 90.00
_cell_angle_gamma 120.00
loop_
_atom_site_label
_atom_site_fract_x
_atom_site_fract_y
_atom_site_fract_z
Cr1 0.0000 0.0000 0.0000
Tc1 0.0000 0.0000 0.2638
Pb1 0.0000 0.0000 0.5000
```

## Properties
The offset from the most stable computed form is 0.259 eV per atom. The calculation puts the formation energy from the elements at 0.62 eV/atom. As for the volume: 192.47 Å³ per cell.

---

3.
Material: MgSc
Method: DFT, meta-GGA SCAN
State: PBEsol geometry

```
data_MgSc
_chemical_formula_sum 'Mg4 Sc4'
_space_group_name_H-M_alt 'P n m a'
_space_group_IT_number 62
_cell_length_a 5.6908
_cell_length_b 5.1170
_cell_length_c 6.3137
_cell_angle_alpha 90.00
_cell_angle_beta 90.00
_cell_angle_gamma 90.00
loop_
_space_group_symop_operation_xyz
'x,y,z'
'-x,-y,-z'
'-x+1/2,-y,z+1/2'
'x+1/2,y,-z+1/2'
'x+1/2,-y+1/2,-z+1/2'
'-x+1/2,y+1/2,z+1/2'
'-x,y+1/2,-z'
'x,-y+1/2,z'
loop_
_atom_site_label
_atom_site_fract_x
_atom_site_fract_y
_atom_site_fract_z
Mg1 0.0870 0.2500 0.1266
Sc1 0.1114 0.2500 0.6284
```

## Properties
The calculation puts the formation energy from the elements at 0.00 eV/atom. As for the volume: 183.85 Å³ per cell.

---

4.
Material: SrLiHfH2
Method: DFT, meta-GGA SCAN
State: PBEsol geometry

```
data_SrLiHfH2
_chemical_formula_sum 'Sr1 Li1 Hf1 H2'
_space_group_name_H-M_alt 'P 4/m m m'
_space_group_IT_number 123
_space_group_name_Hall '-P 4 2'
_cell_length_a 4.0280
_cell_length_b 4.0280
_cell_length_c 6.1703
_cell_angle_alpha 90.00
_cell_angle_beta 90.00
_cell_angle_gamma 90.00
loop_
_atom_site_label
_atom_site_fract_x
_atom_site_fract_y
_atom_site_fract_z
Sr1 0.0000 0.0000 0.0000
Li1 0.5000 0.5000 0.0000
Hf1 0.0000 0.0000 0.5000
H1 0.0000 0.5000 0.5000
```

## Properties
The calculation puts the total energy at -18.13 eV per atom. As for the volume: 100.11 Å³ per cell.

---

5.
Material: Sc4AgW
Method: DFT, meta-GGA SCAN
State: PBEsol geometry

```
data_Sc4AgW
_chemical_formula_sum 'Sc16 Ag4 W4'
_space_group_name_H-M_alt 'F -4 3 m'
_space_group_IT_number 216
_space_group_name_Hall 'F -4 2 3'
_cell_length_a 7.7412
_cell_length_b 7.7412
_cell_length_c 7.7412
_cell_angle_alpha 90.00
_cell_angle_beta 90.00
_cell_angle_gamma 90.00
loop_
_atom_site_label
_atom_site_fract_x
_atom_site_fract_y
_atom_site_fract_z
Sc1 0.1241 0.1241 0.1241
Ag1 0.0000 0.0000 0.5000
W1 0.2500 0.2500 0.7500
```

## Properties
The calculation puts the formation energy from the elements at 0.69 eV/atom. As for the volume: 463.89 Å³ per cell.

---

6.
Material: DyAl7Au3
Method: DFT, meta-GGA SCAN
State: PBEsol geometry

```
data_DyAl7Au3
_chemical_formula_sum 'Dy6 Al42 Au18'
_space_group_name_H-M_alt 'R -3 c'
_space_group_IT_number 167
_space_group_name_Hall '-R 3 2"c'
_cell_length_a 8.0017
_cell_length_b 8.0017
_cell_length_c 20.9177
_cell_angle_alpha 90.00
_cell_angle_beta 90.00
_cell_angle_gamma 120.00
loop_
_atom_site_label
_atom_site_fract_x
_atom_site_fract_y
_atom_site_fract_z
Dy1 0.0000 0.0000 0.0000
Al1 0.0000 0.0000 0.2500
Al2 0.0105 0.2077 0.1367
Au1 0.0000 0.3243 0.2500
```

## Properties
The calculation puts the formation energy from the elements at -0.73 eV/atom. As for the volume: 1159.87 Å³ per cell.

---

7.
Material: SiBi3
Method: DFT, meta-GGA SCAN
State: PBEsol geometry

```
data_SiBi3
_chemical_formula_sum 'Si4 Bi12'
_space_group_name_H-M_alt 'F m -3 m'
_space_group_IT_number 225
_space_group_name_Hall '-F 4 2 3'
_cell_length_a 7.5779
_cell_length_b 7.5779
_cell_length_c 7.5779
_cell_angle_alpha 90.00
_cell_angle_beta 90.00
_cell_angle_gamma 90.00
loop_
_atom_site_label
_atom_site_fract_x
_atom_site_fract_y
_atom_site_fract_z
Si1 0.0000 0.0000 0.0000
Bi1 0.0000 0.0000 0.5000
Bi2 0.2500 0.2500 0.2500
```

## Properties
The formation energy from raw total energies comes out at 541 meV per atom. As for the volume: 435.15 Å³ per cell.

---

8.
Material: CaZnCu2
Method: DFT, meta-GGA SCAN
State: PBEsol geometry

```
data_CaZnCu2
_chemical_formula_sum 'Ca1 Zn1 Cu2'
_space_group_name_H-M_alt 'P m m 2'
_space_group_IT_number 25
_cell_length_a 3.0885
_cell_length_b 3.3188
_cell_length_c 6.3957
_cell_angle_alpha 90.00
_cell_angle_beta 90.00
_cell_angle_gamma 90.00
loop_
_space_group_symop_operation_xyz
'x,y,z'
'-x,-y,z'
'-x,y,z'
'x,-y,z'
loop_
_atom_site_label
_atom_site_fract_x
_atom_site_fract_y
_atom_site_fract_z
Ca1 0.0000 0.0000 0.0000
Zn1 0.5000 0.5000 0.6758
Cu1 0.0000 0.0000 0.4769
Cu2 0.5000 0.5000 0.2987
```

## Properties
The calculation puts the formation energy from the elements at -0.02 eV/atom. As for the volume: 65.56 Å³ per cell.

---

9.
Material: Mg2CdAg
Method: DFT, meta-GGA SCAN
State: PBEsol geometry

```
data_Mg2CdAg
_chemical_formula_sum 'Mg8 Cd4 Ag4'
_space_group_name_H-M_alt 'F -4 3 m'
_space_group_IT_number 216
_space_group_name_Hall 'F -4 2 3'
_cell_length_a 6.7069
_cell_length_b 6.7069
_cell_length_c 6.7069
_cell_angle_alpha 90.00
_cell_angle_beta 90.00
_cell_angle_gamma 90.00
loop_
_atom_site_label
_atom_site_fract_x
_atom_site_fract_y
_atom_site_fract_z
Mg1 0.0000 0.0000 0.0000
Mg2 0.2500 0.2500 0.2500
Cd1 0.0000 0.0000 0.5000
Ag1 0.2500 0.2500 0.7500
```

## Properties
The offset from the most stable computed form is 0.072 eV per atom. The calculation puts the formation energy from the elements at -0.16 eV/atom. As for the volume: 301.70 Å³ per cell.

---

10.
Material: MnPt2Se
Method: DFT, meta-GGA SCAN
State: PBEsol geometry

```
data_MnPt2Se
_chemical_formula_sum 'Mn1 Pt2 Se1'
_space_group_name_H-M_alt 'P 4 m m'
_space_group_IT_number 99
_cell_length_a 3.3669
_cell_length_b 3.3669
_cell_length_c 5.4658
_cell_angle_alpha 90.00
_cell_angle_beta 90.00
_cell_angle_gamma 90.00
loop_
_space_group_symop_operation_xyz
'x,y,z'
'-y,x,z'
'-x,-y,z'
'y,-x,z'
'-x,y,z'
'y,x,z'
'x,-y,z'
'-y,-x,z'
loop_
_atom_site_label
_atom_site_fract_x
_atom_site_fract_y
_atom_site_fract_z
Mn1 0.0000 0.0000 0.0000
Pt1 0.0000 0.0000 0.4799
Pt2 0.5000 0.5000 0.2084
Se1 0.5000 0.5000 0.7323
```

## Properties
The formation energy from raw total energies comes out at -149 meV per atom. As for the volume: 61.96 Å³ per cell.

---

11.
Material: Y2TaW
Method: DFT, meta-GGA SCAN
State: PBEsol geometry

```
data_Y2TaW
_chemical_formula_sum 'Y4 Ta2 W2'
_space_group_name_H-M_alt 'I m m 2'
_space_group_IT_number 44
_cell_length_a 3.5058
_cell_length_b 5.0737
_cell_length_c 10.1098
_cell_angle_alpha 90.00
_cell_angle_beta 90.00
_cell_angle_gamma 90.00
loop_
_space_group_symop_operation_xyz
'x,y,z'
'-x,-y,z'
'-x,y,z'
'x,-y,z'
'x+1/2,y+1/2,z+1/2'
'-x+1/2,-y+1/2,z+1/2'
'-x+1/2,y+1/2,z+1/2'
'x+1/2,-y+1/2,z+1/2'
loop_
_atom_site_label
_atom_site_fract_x
_atom_site_fract_y
_atom_site_fract_z
Y1 0.0000 0.0000 0.0000
Y2 0.0000 0.5000 0.2230
Ta1 0.0000 0.5000 0.7827
W1 0.0000 0.0000 0.4634
```

## Properties
The offset from the most stable computed form is 0.000 eV per atom. The calculation puts the formation energy from the elements at 0.34 eV/atom. As for the volume: 179.82 Å³ per cell.

---

12.
Material: LaZrIn2
Method: DFT, meta-GGA SCAN
State: PBEsol geometry

```
data_LaZrIn2
_chemical_formula_sum 'La2 Zr2 In4'
_space_group_name_H-M_alt 'I -4 m 2'
_space_group_IT_number 119
_space_group_name_Hall 'I -4 -2'
_cell_length_a 4.4854
_cell_length_b 4.4854
_cell_length_c 9.9864
_cell_angle_alpha 90.00
_cell_angle_beta 90.00
_cell_angle_gamma 90.00
loop_
_atom_site_label
_atom_site_fract_x
_atom_site_fract_y
_atom_site_fract_z
La1 0.0000 0.0000 0.0000
Zr1 0.0000 0.5000 0.2500
In1 0.0000 0.0000 0.5000
In2 0.0000 0.5000 0.7500
```

## Properties
The calculation puts the formation energy from the elements at -0.30 eV/atom. As for the volume: 200.91 Å³ per cell.